Here is a relaxed LaSi2Rh8 crystal from Alexandria. Energies are from PBE.

Cell lengths 5.696, 5.696, 5.817 Å; angles 90.00, 90.00, 90.00 degrees
Fractional positions:
La1 0.500 0.500 0.500
Si1 0.500 0.000 0.000
Si2 0.000 0.500 0.000
Rh1 0.767 0.767 0.238
Rh2 0.767 0.233 0.762
Rh3 0.767 0.767 0.762
Rh4 0.767 0.233 0.238
Rh5 0.233 0.767 0.238
Rh6 0.233 0.767 0.762
Rh7 0.233 0.233 0.238
Rh8 0.233 0.233 0.762

The crystal system is tetragonal. For the calculated density, the calculation gives 8.96 g/cm³. As for the space group: P4/mmm. As for the raw formation energy: -0.27 eV per formula unit.


Here is a relaxed La2SiRh crystal from Alexandria. Energies are from PBE.

Cell lengths 3.623, 3.934, 6.707 Å; angles 90.00, 90.00, 90.00 degrees
Fractional positions:
La1 0.000 0.000 0.000
La2 0.000 0.000 0.500
Rh1 0.500 0.500 0.250
Si1 0.500 0.500 0.750

The crystal system is orthorhombic. For the calculated density, the calculation gives 7.10 g/cm³. As for the space group: Pmmm. As for the raw formation energy: -2.18 eV per formula unit.


Here is a relaxed LaSi2Rh6 crystal from Alexandria. Energies are from PBE.

Cell lengths 7.755, 7.755, 7.755 Å; angles 60.00, 60.00, 60.00 degrees
Fractional positions:
La1 0.500 0.500 0.500
La2 0.750 0.750 0.750
Si1 0.125 0.125 0.125
Si2 0.125 0.625 0.125
Si3 0.125 0.125 0.625
Si4 0.625 0.125 0.125
Rh1 0.246 0.246 0.754
Rh2 0.754 0.754 0.246
Rh3 0.246 0.754 0.246
Rh4 0.246 0.754 0.754
Rh5 0.496 0.496 0.004
Rh6 0.496 0.004 0.004
Rh7 0.754 0.246 0.754
Rh8 0.004 0.004 0.496
Rh9 0.496 0.004 0.496
Rh10 0.004 0.496 0.496
Rh11 0.754 0.246 0.246
Rh12 0.004 0.496 0.004

The crystal system is cubic. For the calculated density, the calculation gives 8.18 g/cm³. As for the space group: Fd-3m. As for the raw formation energy: -2.17 eV per formula unit.


Here is a relaxed LaSiRh crystal from Alexandria. Energies are from PBE.

Cell lengths 6.407, 6.407, 6.407 Å; angles 90.00, 90.00, 90.00 degrees
Fractional positions:
Si1 0.662 0.838 0.162
Si2 0.162 0.662 0.838
Si3 0.838 0.162 0.662
Si4 0.338 0.338 0.338
Rh1 0.078 0.422 0.578
Rh2 0.578 0.078 0.422
Rh3 0.922 0.922 0.922
Rh4 0.422 0.578 0.078
La1 0.135 0.865 0.365
La2 0.865 0.365 0.135
La3 0.635 0.635 0.635
La4 0.365 0.135 0.865

The crystal system is cubic. For the calculated density, the calculation gives 6.82 g/cm³. As for the space group: P2_13. As for the raw formation energy: -2.93 eV per formula unit.


Here is a relaxed LaSi2Rh crystal from Alexandria. Energies are from PBE.

Cell lengths 3.923, 3.688, 5.499 Å; angles 89.98, 90.00, 90.00 degrees
Fractional positions:
La1 0.000 0.625 0.453
Rh1 0.500 0.625 0.921
Si1 0.000 0.125 0.932
Si2 0.500 0.125 0.193

The crystal system is orthorhombic. For the calculated density, the calculation gives 6.22 g/cm³. As for the space group: Pmm2. As for the raw formation energy: -2.43 eV per formula unit.


Here is a relaxed LaSiRh crystal from Alexandria. Energies are from PBE.

Cell lengths 4.599, 4.599, 4.599 Å; angles 60.00, 60.00, 60.00 degrees
Fractional positions:
La1 0.500 0.500 0.500
Rh1 0.750 0.750 0.750
Si1 0.000 0.000 0.000

The crystal system is cubic. For the calculated density, the calculation gives 6.52 g/cm³. As for the space group: F-43m. As for the raw formation energy: -1.51 eV per formula unit.


| no. | total DFT energy (no corrections) (eV for the cell shown) | density of states at the Fermi level (states/eV/f.u.) |
| --- | --- | --- |
| 1 | -74.853 | 13.58 |
| 2 | -24.808 | 3.09 |
| 3 | -124.100 | 8.10 |
| 4 | -82.531 | 0.83 |
| 5 | -25.557 | 1.62 |
| 6 | -19.216 | 5.21 |